# Mn2Co5SiB2 (PBE-GGA, optimized geometry)
data_Mn2Co5SiB2
_chemical_formula_sum 'Mn4 Co10 Si2 B4'
_space_group_name_H-M_alt 'P 1'
_space_group_IT_number 1
_space_group_name_Hall 'P 1'
_cell_length_a 8.477
_cell_length_b 8.477
_cell_length_c 2.787
_cell_angle_alpha 90.00
_cell_angle_beta 90.00
_cell_angle_gamma 90.00
loop_
_atom_site_label
_atom_site_fract_x
_atom_site_fract_y
_atom_site_fract_z
Mn1 0.176 0.324 0.000
Mn2 0.324 0.824 0.000
Mn3 0.676 0.176 0.000
Mn4 0.824 0.676 0.000
Co1 0.000 0.500 0.500
Co2 0.068 0.787 0.500
Co3 0.213 0.068 0.500
Co4 0.287 0.568 0.500
Co5 0.432 0.287 0.500
Co6 0.500 0.000 0.500
Co7 0.568 0.713 0.500
Co8 0.713 0.432 0.500
Co9 0.787 0.932 0.500
Co10 0.932 0.213 0.500
Si1 0.000 0.000 0.000
Si2 0.500 0.500 0.000
B1 0.125 0.625 0.000
B2 0.375 0.125 0.000
B3 0.625 0.875 0.000
B4 0.875 0.375 0.000
# - Calculated total energy: -7.62 eV/atom
# - SG: P4/mbm (127)
# - M_tot: 18.343 μB per cell